## YSc2 (GGA-PBE)

Data for crystalline YSc2 at its relaxed geometry.

Lattice parameters (Å, degrees): 7.047 7.047 7.047 90.00 90.00 90.00
Fractional coordinates of all 12 atoms:
Y 0.000 0.000 0.000
Y 0.000 0.500 0.500
Y 0.500 0.000 0.500
Y 0.500 0.500 0.000
Sc 0.143 0.643 0.857
Sc 0.143 0.857 0.357
Sc 0.357 0.143 0.857
Sc 0.357 0.357 0.357
Sc 0.643 0.643 0.643
Sc 0.643 0.857 0.143
Sc 0.857 0.143 0.643
Sc 0.857 0.357 0.143

Computed properties:
The value obtained for the density of states at the Fermi level is 22.82 states/eV/cell. The space-group type is Pa-3 (205). As for the relative energy among the computed polymorphs: 0.961 eV/atom.



## CaZnS (GGA-PBE)

Data for crystalline CaZnS at its relaxed geometry.

Lattice parameters (Å, degrees): 3.696 3.889 6.223 72.21 89.88 90.00
Fractional coordinates of all 3 atoms:
Ca 0.000 0.000 0.000
Zn 0.506 0.228 0.541
S 0.499 0.435 0.134

Computed properties:
The value obtained for the formation energy without anion corrections is -0.9387 eV per atom. The value obtained for the density of states at the Fermi level is 0.34 states/eV/cell. The space-group type is P1 (1). As for the relative energy among the computed polymorphs: 0.220 eV/atom.



## Na2Cd4Sn5 (GGA-PBE)

Data for crystalline Na2Cd4Sn5 at its relaxed geometry.

Lattice parameters (Å, degrees): 6.182 6.289 8.300 77.62 76.54 70.58
Fractional coordinates of all 11 atoms:
Na 0.098 0.448 0.295
Na 0.902 0.552 0.705
Cd 0.179 0.911 0.353
Cd 0.311 0.070 0.640
Cd 0.689 0.930 0.360
Cd 0.821 0.089 0.647
Sn 0.203 0.126 0.001
Sn 0.323 0.605 0.885
Sn 0.500 0.500 0.500
Sn 0.677 0.395 0.115
Sn 0.797 0.874 0.999

Computed properties:
The value obtained for the density of states at the Fermi level is 4.64 states/eV/cell. The space-group type is P-1 (2). As for the relative energy among the computed polymorphs: 0.000 eV/atom.